CrSbS2 | meta-GGA SCAN | PBEsol geometry

Output
Total energy (eV per formula unit): -77.8
Space group: R-3m, No. 166
Crystal system: trigonal

extended XYZ file:
```
4
Lattice="3.418 0.000 0.000 1.709 2.960 0.000 1.709 0.987 7.950" Properties=species:S:1:pos:R:3 pbc="T T T"
Sb 0.000 0.000 0.000
S 5.127 2.960 2.697
S 1.709 0.987 5.253
Cr 3.418 1.973 3.975
```